# 1
Tb3Y8Ho3 (GGA-PBE, optimized geometry); offset from the most stable computed form = 0 meV per atom; SG = No. 71
1.0
-0.3965 -5.1268 2.3112
0.8193 -6.3908 -7.1609
8.1487 -1.5168 4.9082
Tb Y Ho
3 8 3
Direct
0.5000 0.0000 0.0000
0.0000 0.8197 0.1803
0.0000 0.1803 0.8197
0.6583 0.1197 0.5637
0.3417 0.8803 0.4363
0.6583 0.5637 0.1197
0.3417 0.4363 0.8803
0.8416 0.7619 0.5550
0.1584 0.2381 0.4450
0.8416 0.5550 0.7619
0.1584 0.4450 0.2381
0.5000 0.5000 0.5000
0.7975 0.2024 0.2024
0.2025 0.7976 0.7976

=====

# 2
Ce5FePb (GGA-PBE, optimized geometry); SG = No. 123
1.0
4.8477 0.0000 0.0000
0.0000 4.8478 0.0000
0.0000 0.0000 7.6278
Ce Fe Pb
5 1 1
Direct
0.0000 0.5000 0.8106
0.0000 0.5000 0.1894
0.5000 0.0000 0.8107
0.5000 0.0000 0.1893
0.5000 0.5000 0.5000
0.5000 0.5000 0.0000
0.0000 0.0000 0.5000

=====

no.,energy of formation from the pure elements (eV/atom)
1,0.122
2,-0.114